CaGe2W, optimized geometry, DFT PBE; space-group type = Fm-3m
1.0
0.000 3.330 3.330
3.330 0.000 3.330
3.330 3.330 0.000
Ca Ge W
1 2 1
direct
0.000 0.000 0.000
0.250 0.250 0.250
0.750 0.750 0.750
0.500 0.500 0.500

=====

Sm3Ag2Hg4, optimized geometry, DFT PBE; space-group type = C2/m
1.0
5.521 -2.481 0.000
5.521 2.481 0.000
-4.610 0.000 7.978
Sm Ag Hg
3 2 4
direct
0.000 0.000 0.000
0.333 0.333 0.335
0.667 0.667 0.665
0.391 0.391 0.723
0.609 0.609 0.277
0.059 0.059 0.389
0.285 0.285 0.946
0.715 0.715 0.054
0.941 0.941 0.611

=====

BeAsPb2, optimized geometry, DFT PBE; space-group type = F-43m
1.0
0.000 3.643 3.643
3.643 0.000 3.643
3.643 3.643 0.000
Be As Pb
1 1 2
direct
0.000 0.000 0.000
0.750 0.750 0.750
0.250 0.250 0.250
0.500 0.500 0.500

=====

Al2MoCl, optimized geometry, DFT PBE; E_form (uncorrected) = 0.5226 eV/atom; space-group type = I-42d
1.0
-3.557 3.557 2.802
3.557 -3.557 2.802
3.557 3.557 -2.802
Al Mo Cl
4 2 2
direct
0.120 0.625 0.995
0.375 0.370 0.495
0.630 0.125 0.005
0.875 0.880 0.505
0.250 0.750 0.500
0.500 0.500 0.000
0.000 0.000 0.000
0.750 0.250 0.500

=====

Er2AsS, optimized geometry, DFT PBE; E_form (uncorrected) = -1.7624 eV/atom; space-group type = R-3m
1.0
1.996 1.152 6.459
-1.996 1.152 6.459
0.000 -2.304 6.459
Er As S
2 1 1
direct
0.249 0.249 0.249
0.751 0.751 0.751
0.000 0.000 0.000
0.500 0.500 0.500

=====

SmPaRu, optimized geometry, DFT PBE; space-group type = P3m1
1.0
3.764 0.000 0.000
-1.882 3.260 0.000
0.000 0.000 6.353
Sm Pa Ru
1 1 1
direct
0.000 0.000 0.000
0.667 0.333 0.453
0.333 0.667 0.678

=====

Total magnetization: 1.40 0.00 0.00 1.61 0.00 0.00 (Bohr magnetons per cell)
E above lowest polymorph: 0.000 0.000 0.463 0.883 0.016 0.136 (eV per atom)